1.
## CsSrBi (PBE-GGA)

Data for crystalline CsSrBi at its relaxed geometry.

Calculated values
- Crystal system: orthorhombic
- Energy of formation from the pure elements: -0.524 eV per atom

a = 9.1288 Å, b = 5.5675 Å, c = 11.9248 Å
α = 90.00°, β = 90.00°, γ = 90.00°
Atoms (fractional coordinates):
Cs (0.1270, 0.2500, 0.0740)
Cs (0.3730, 0.7500, 0.5740)
Cs (0.6270, 0.2500, 0.4260)
Cs (0.8730, 0.7500, 0.9260)
Sr (0.0173, 0.2500, 0.6396)
Sr (0.4827, 0.7500, 0.1396)
Sr (0.5173, 0.2500, 0.8604)
Sr (0.9827, 0.7500, 0.3604)
Bi (0.1957, 0.2500, 0.3866)
Bi (0.3043, 0.7500, 0.8866)
Bi (0.6957, 0.2500, 0.1134)
Bi (0.8043, 0.7500, 0.6134)


2.
## KLiPaSe4 (PBE-GGA)

Data for crystalline KLiPaSe4 at its relaxed geometry.

Calculated values
- Crystal system: monoclinic
- Formation energy (no corrections): -1.225 eV/atom

a = 7.2423 Å, b = 5.7352 Å, c = 9.6877 Å
α = 90.00°, β = 109.94°, γ = 90.00°
Atoms (fractional coordinates):
K (0.2296, 0.2500, 0.4531)
K (0.7704, 0.7500, 0.5469)
Li (0.2515, 0.7500, 0.1891)
Li (0.7485, 0.2500, 0.8109)
Pa (0.2302, 0.2500, 0.9399)
Pa (0.7698, 0.7500, 0.0601)
Se (0.0380, 0.7500, 0.3345)
Se (0.0648, 0.7500, 0.9221)
Se (0.4722, 0.5110, 0.8053)
Se (0.4722, 0.9890, 0.8053)
Se (0.5278, 0.0110, 0.1947)
Se (0.5278, 0.4890, 0.1947)
Se (0.9352, 0.2500, 0.0779)
Se (0.9620, 0.2500, 0.6655)


3.
## LiThPb (PBE-GGA)

Data for crystalline LiThPb at its relaxed geometry.

Calculated values
- Crystal system: tetragonal
- Energy of formation from the pure elements: 0.077 eV per atom

a = 4.2608 Å, b = 4.2608 Å, c = 9.2136 Å
α = 90.00°, β = 90.00°, γ = 90.00°
Atoms (fractional coordinates):
Li (0.0000, 0.0000, 0.0000)
Li (0.5000, 0.5000, 0.5000)
Th (0.0000, 0.0000, 0.3373)
Th (0.5000, 0.5000, 0.8373)
Pb (0.0000, 0.0000, 0.6823)
Pb (0.5000, 0.5000, 0.1823)


Result set for magnetic moment: 0.00 0.00 0.00 μB/f.u., one per record in the order listed.